! CoSbNO2 PBE+U relaxed; values from VASP
! Energy in eV for the cell shown: -26.5
&SYSTEM
  ibrav = 0, nat = 5, ntyp = 4
/
ATOMIC_SPECIES
Co 58.93 Co.upf
Sb 121.76 Sb.upf
N 14.01 N.upf
O 16.00 O.upf
CELL_PARAMETERS angstrom
3.952 0.000 0.000
0.000 3.952 0.000
0.000 0.000 4.006
ATOMIC_POSITIONS crystal
Co 0.000 0.000 0.000
Sb 0.500 0.500 0.500
N 0.500 0.500 0.000
O 0.000 0.500 0.500
O 0.500 0.000 0.500